1.
First-principles (PBE) data for a relaxed K2P3H7O9 crystal, as listed in Alexandria via LeMat-Bulk.

Computed properties:
DOS(E_F): 0.00 states/eV/cell
ρ: 1.910 g/cm3

Cell lengths 7.707, 8.802, 9.196 Å; angles 79.06, 66.42, 88.87 degrees
Space group P-1 (No. 2)
Symmetry-distinct sites (fractional):
K: 0.088 0.074 0.152
K: 0.181 0.598 0.097
P: 0.025 0.719 0.520
P: 0.357 0.363 0.762
P: 0.438 0.898 0.776
H: 0.146 0.596 0.507
H: 0.204 0.265 0.633
H: 0.247 0.913 0.421
H: 0.353 0.288 0.251
H: 0.427 0.914 0.624
H: 0.435 0.513 0.677
H: 0.454 0.826 0.211
O: 0.014 0.246 0.633
O: 0.143 0.322 0.317
O: 0.143 0.861 0.529
O: 0.177 0.370 0.907
O: 0.245 0.908 0.906
O: 0.337 0.274 0.636
O: 0.402 0.985 0.246
O: 0.476 0.711 0.197
O: 0.496 0.273 0.191


2.
First-principles (PBE) data for a relaxed ThSi2Ni5Ir crystal, as listed in Alexandria via LeMat-Bulk.

Computed properties:
DOS(E_F): 9.60 states/eV/cell
Formation energy without anion corrections: -110.4 meV/atom
ρ: 8.849 g/cm3

Cell lengths 3.837, 3.837, 9.864 Å; angles 90.00, 90.00, 90.00 degrees
Space group P4/mmm (No. 123)
Symmetry-distinct sites (fractional):
Th: 0.000 0.000 0.000
Si: 0.500 0.500 0.222
Ni: 0.000 0.500 0.344
Ni: 0.500 0.500 0.000
Ir: 0.000 0.000 0.500


3.
First-principles (PBE) data for a relaxed La2YCd crystal, as listed in Alexandria via LeMat-Bulk.

Computed properties:
DOS(E_F): 5.78 states/eV/cell
ΔH_f (0 K): -37 kJ/mol of formula units
ρ: 6.398 g/cm3

Cell lengths 3.677, 4.705, 7.188 Å; angles 90.00, 90.08, 90.00 degrees
Space group Pm (No. 6)
Symmetry-distinct sites (fractional):
La: 0.000 0.000 0.000
La: 0.500 0.500 0.250
Y: 0.498 0.500 0.718
Cd: 0.998 0.000 0.505


4.
First-principles (PBE) data for a relaxed RbCrH2 crystal, as listed in Alexandria via LeMat-Bulk.

Computed properties:
ΔE to the lowest computed polymorph: 142.6 meV per atom
DOS(E_F): 0.47 states/eV/cell
ρ: 3.398 g/cm3

Cell lengths 7.444, 11.273, 3.249 Å; angles 90.00, 90.86, 90.00 degrees
Space group C2 (No. 5)
Symmetry-distinct sites (fractional):
Rb: 0.000 0.000 0.000
Rb: 0.000 0.404 0.000
Cr: 0.116 0.713 0.550
H: 0.182 0.646 0.064
H: 0.206 0.855 0.484


5.
First-principles (PBE) data for a relaxed CaPPtCl2 crystal, as listed in Alexandria via LeMat-Bulk.

Computed properties:
ΔE to the lowest computed polymorph: 734.1 meV per atom
DOS(E_F): 3.49 states/eV/cell
Formation energy without anion corrections: 202.0 meV/atom
ρ: 3.673 g/cm3

Cell lengths 4.984, 4.984, 6.135 Å; angles 90.00, 90.00, 90.00 degrees
Space group P4/mmm (No. 123)
Symmetry-distinct sites (fractional):
Ca: 0.000 0.000 0.000
P: 0.000 0.000 0.500
Pt: 0.500 0.500 0.500
Cl: 0.000 0.500 0.000


6.
First-principles (PBE) data for a relaxed Ba3Hg crystal, as listed in Alexandria via LeMat-Bulk.

Computed properties:
ΔE to the lowest computed polymorph: 162.2 meV per atom
DOS(E_F): 29.25 states/eV/cell
ΔH_f (0 K): -38 kJ/mol of formula units
ρ: 5.562 g/cm3

Cell lengths 8.0926, 8.0926, 12.8989 Å; angles 90.00, 90.00, 120.00 degrees
Space group P6_3/mmc (No. 194)
Symmetry-distinct sites (fractional):
Ba: 0.0000 0.5000 0.0000
Ba: 0.1582 0.3164 0.2500
Hg: 0.0000 0.0000 0.0000
Hg: 0.3333 0.6667 0.7500


7.
First-principles (PBE) data for a relaxed Ag2BiTe3 crystal, as listed in Alexandria via LeMat-Bulk.

Computed properties:
DOS(E_F): 22.26 states/eV/cell
Formation energy without anion corrections: -37.5 meV/atom
ρ: 6.178 g/cm3

Cell lengths 8.095, 14.034, 8.143 Å; angles 90.00, 110.20, 90.00 degrees
Space group Cc (No. 9)
Symmetry-distinct sites (fractional):
Ag: 0.000 0.080 0.000
Ag: 0.031 0.247 0.506
Bi: 0.021 0.416 0.016
Te: 0.371 0.102 0.122
Te: 0.396 0.259 0.643
Te: 0.415 0.414 0.138


8.
First-principles (PBE) data for a relaxed Ca3Al9Pd2 crystal, as listed in Alexandria via LeMat-Bulk.

Computed properties:
DOS(E_F): 12.04 states/eV/cell
ΔH_f (0 K): -637 kJ/mol of formula units
ρ: 3.508 g/cm3

Cell lengths 4.367, 9.962, 12.533 Å; angles 90.00, 90.00, 90.00 degrees
Space group Immm (No. 71)
Symmetry-distinct sites (fractional):
Ca: 0.000 0.000 0.000
Ca: 0.000 0.000 0.298
Al: 0.000 0.283 0.130
Al: 0.000 0.363 0.346
Al: 0.000 0.500 0.000
Pd: 0.000 0.188 0.500


Number 1: total energy -0.209 hartree per atom. Number 2: total energy -0.233 hartree per atom. Number 3: total energy -0.162 hartree per atom. Number 4: total energy -0.150 hartree per atom. Number 5: total energy -0.119 hartree per atom. Number 6: total energy -0.059 hartree per atom. Number 7: total energy -0.118 hartree per atom. Number 8: total energy -0.149 hartree per atom.